(1)
Mg2TeAs | PBE | relaxed

Computed properties:
Final energy, eV/f.u.: -12.0

a b c (Å): 6.432 6.432 6.432
angles (deg): 143.54 143.54 52.52
Atoms (fractional coordinates):
Mg: 0.000 0.000 0.000
Mg: 0.750 0.250 0.500
Te: 0.250 0.750 0.500
As: 0.500 0.500 0.000

=====

(2)
TlTc2Te | PBE | relaxed

Computed properties:
Final energy, eV/f.u.: -23.8

a b c (Å): 6.176 6.176 6.176
angles (deg): 150.71 136.33 53.45
Atoms (fractional coordinates):
Tl: 0.000 0.000 0.000
Tc: 0.312 0.812 0.500
Tc: 0.508 0.508 0.000
Te: 0.726 0.226 0.500

=====

| no. | formation energy from raw total energies (meV/atom) |
| --- | --- |
| 1 | -250 |
| 2 | 609 |